A geometry-optimized Y3TeSe structure, computed with PBE-GGA.

N(E_F)	9.69	states/eV/f.u.
uncorrected formation energy	-0.60	eV/atom
crystal system	cubic
E	-0.4269	Ry/atom
distance to the lowest polymorph of the same formula	0.5492	eV/atom

Lattice parameters (Å, degrees): 5.359 5.359 5.359 90.00 90.00 90.00
Element x y z (fractional)
1 Se 0.000 0.000 0.000
2 Y 0.500 0.000 0.000
3 Y 0.000 0.000 0.500
4 Te 0.500 0.500 0.500
5 Y 0.000 0.500 0.000

***

A geometry-optimized BaLa2Cd structure, computed with PBE-GGA.

N(E_F)	5.59	states/eV/f.u.
formation enthalpy at 0 K	0.032	eV/atom
crystal system	trigonal
E	-0.2309	Ry/atom
distance to the lowest polymorph of the same formula	0.1379	eV/atom

Lattice parameters (Å, degrees): 12.146 12.146 12.146 18.43 18.43 18.43
Element x y z (fractional)
1 La 0.486 0.486 0.486
2 Cd 0.750 0.750 0.750
3 Ba 0.250 0.250 0.250
4 La 0.014 0.014 0.014

***

A geometry-optimized NdEr3Zn structure, computed with PBE-GGA.

N(E_F)	7.66	states/eV/f.u.
formation enthalpy at 0 K	0.047	eV/atom
crystal system	monoclinic
E	-0.2866	Ry/atom

Lattice parameters (Å, degrees): 7.720 7.720 7.148 98.96 117.93 114.97
Element x y z (fractional)
1 Zn 0.665 0.726 0.391
2 Nd 0.747 0.051 0.798
3 Er 0.174 0.886 0.654
4 Er 0.231 0.520 0.346
5 Nd 0.253 0.949 0.202
6 Zn 0.335 0.274 0.609
7 Er 0.769 0.480 0.654
8 Er 0.826 0.114 0.346
9 Er 0.690 0.421 0.111
10 Er 0.310 0.579 0.889